[1]
Material: AcHg8Au2
Method: DFT, GGA-PBE
State: optimized geometry

extended XYZ file:
```
11
Lattice="-3.524 -3.005 -1.640 3.704 -5.590 5.010 -5.113 5.354 3.905" Properties=species:S:1:pos:R:3 pbc="T T T"
Ac -1.762 -1.503 -0.820
Hg -3.198 -4.310 5.804
Hg -5.450 -1.515 5.522
Hg -2.101 -1.185 5.033
Hg -0.155 -4.489 3.927
Hg -4.778 1.248 3.348
Hg -2.832 -2.056 2.242
Hg 0.516 -1.726 1.753
Hg -1.736 1.069 1.471
Au -2.133 1.655 4.279
Au 0.724 -1.891 4.636
```

Properties
E = -1.296 eV/atom
space-group type = C2/m (12)
total moment = 0.00 μB per cell
calculated formation energy = -0.107 eV/atom
ρ = 12068 kg/m3

[2]
Material: KAl3C
Method: DFT, GGA-PBE
State: optimized geometry

extended XYZ file:
```
5
Lattice="-2.307 0.110 -3.911 3.792 -1.055 -2.266 -0.963 -4.416 0.444" Properties=species:S:1:pos:R:3 pbc="T T T"
C 0.000 0.000 0.000
K 0.261 -2.681 -2.867
Al 1.896 -0.527 -1.133
Al -0.481 -2.208 0.222
Al -1.153 0.055 -1.955
```

Properties
E = -3.438 eV/atom
space-group type = Pm-3m (221)
total moment = 0.00 μB per cell
calculated formation energy = 0.872 eV/atom
energy relative to the lowest polymorph listed for this composition = 0 meV/atom
ρ = 2340 kg/m3

[3]
Material: Na3BiPt8
Method: DFT, GGA-PBE
State: optimized geometry

extended XYZ file:
```
12
Lattice="-0.386 -3.671 3.949 -1.945 -4.928 -1.072 7.349 -5.678 -0.861" Properties=species:S:1:pos:R:3 pbc="T T T"
Na 5.576 -8.200 0.321
Na 7.256 -5.646 -0.840
Na 2.604 -7.172 0.987
Bi 0.639 -9.627 2.211
Pt 0.179 -6.667 3.064
Pt 3.056 -10.130 0.137
Pt 0.372 -4.836 1.095
Pt 2.864 -11.958 2.104
Pt 2.799 -4.104 0.158
Pt 5.286 -11.235 1.171
Pt -0.598 -7.293 0.560
Pt 3.833 -9.504 2.638
```

Properties
E = -5.001 eV/atom
space-group type = R3m (160)
total moment = 0.00 μB per cell
calculated formation energy = -0.320 eV/atom
ρ = 13729 kg/m3

[4]
Material: KCaSe
Method: DFT, GGA-PBE
State: optimized geometry

extended XYZ file:
```
3
Lattice="-3.038 -3.165 -0.044 1.864 1.200 3.786 -5.422 5.190 1.024" Properties=species:S:1:pos:R:3 pbc="T T T"
Ca -4.765 4.561 0.900
K -2.027 1.905 2.936
Se -5.227 1.949 1.955
```

Properties
E = -3.321 eV/atom
space-group type = P3m1 (156)
total moment = 0.00 μB per cell
E_form (uncorrected) = -1.13 eV/atom
energy relative to the lowest polymorph listed for this composition = 0 meV/atom
ρ = 2079 kg/m3

[5]
Material: Al2TcPt
Method: DFT, GGA-PBE
State: optimized geometry

extended XYZ file:
```
4
Lattice="8.495 0.000 0.000 8.009 2.831 0.000 8.009 1.374 2.475" Properties=species:S:1:pos:R:3 pbc="T T T"
Tc 18.385 3.154 1.857
Pt 6.128 1.051 0.619
Al 0.031 0.005 0.003
Al 12.225 2.097 1.235
```

Properties
E = -6.455 eV/atom
space-group type = R-3m (166)
total moment = 0.00 μB per cell
calculated formation energy = -0.482 eV/atom
ρ = 9683 kg/m3

[6]
Material: YFeI
Method: DFT, GGA-PBE
State: optimized geometry

extended XYZ file:
```
6
Lattice="3.790 -0.843 -0.649 2.500 2.854 -1.037 -1.472 2.795 11.633" Properties=species:S:1:pos:R:3 pbc="T T T"
I 2.446 1.994 0.512
I 1.244 2.076 5.309
Y 5.001 3.051 2.121
Y 2.553 5.018 9.128
Fe 1.794 2.531 7.907
Fe 3.875 3.189 7.274
```

Properties
E = -5.750 eV/atom
space-group type = Cm (8)
total moment = 3.42 μB per cell
E_form (uncorrected) = -0.26 eV/atom
ρ = 5905 kg/m3

[7]
Material: NaIn2GaRh
Method: DFT, GGA-PBE
State: optimized geometry

extended XYZ file:
```
5
Lattice="-3.105 -3.667 -1.984 3.348 -0.991 -3.409 2.159 -3.531 3.146" Properties=species:S:1:pos:R:3 pbc="T T T"
Na 0.000 0.000 0.000
Rh 1.201 -4.094 -1.124
Ga 1.674 -0.495 -1.704
In 1.079 -1.765 1.573
In -1.552 -1.833 -0.992
```

Properties
E = -2.363 eV/atom
space-group type = P4/mmm (123)
total moment = 0.00 μB per cell
calculated formation energy = 1.072 eV/atom
energy relative to the lowest polymorph listed for this composition = 1278 meV/atom
ρ = 5355 kg/m3

[8]
Material: CuAu2Br
Method: DFT, GGA-PBE
State: optimized geometry

extended XYZ file:
```
4
Lattice="-2.006 2.500 1.189 -2.540 -0.916 -2.361 -2.664 -4.294 4.531" Properties=species:S:1:pos:R:3 pbc="T T T"
Au -5.147 -5.119 2.076
Au -2.767 -0.006 0.259
Br -2.694 -2.745 1.224
Cu -4.409 -2.655 3.056
```

Properties
E = -3.024 eV/atom
space-group type = Pm (6)
total moment = 0.00 μB per cell
E_form (uncorrected) = 0.06 eV/atom
energy relative to the lowest polymorph listed for this composition = 0 meV/atom
ρ = 10722 kg/m3